Below is a relaxed CsZrAuS3 crystal, with properties calculated at the PBE-GGA level.

Cell lengths 17.477, 3.798, 9.036 Å; angles 90.00, 94.72, 90.00 degrees
Space group C2/m (No. 12)
Symmetry-distinct sites (fractional):
Cs 0.145 0.000 0.078
Zr 0.152 0.000 0.570
Au 0.036 0.500 0.737
S 0.000 0.000 0.500
S 0.000 0.500 0.000
S 0.174 0.500 0.762
S 0.186 0.500 0.392

Properties
Total energy: -0.1879 hartree per atom